Below is RbMnPb2Cl8 after structural relaxation, with properties calculated at the PBE level.

Calculated total energy ... -3.883 eV/atom
N(E_F) ... 0.11 states/eV/cell

Structure (POSCAR):
```
RbMnPb2Cl8
1.0
-1.8855 4.8513 4.3485
-3.9946 -3.9053 3.2046
6.5423 -2.2983 5.4170
Rb Mn Pb Cl
1 1 2 8
Direct
0.0000 0.0000 0.5000
0.0000 0.0000 0.0000
0.5001 0.4996 0.7652
0.4999 0.5004 0.2348
0.1430 0.7888 0.1851
0.6804 0.7495 0.9994
0.8554 0.2096 0.1843
0.8570 0.2112 0.8149
0.3196 0.2505 0.0006
0.1446 0.7904 0.8157
0.6342 0.7171 0.4991
0.3658 0.2829 0.5009
```